No. 1
The following is a PBE-GGA calculation of a geometry-optimized LaSi2Ni structure, from the Alexandria database.

Cell: 4.231 4.105 8.591 Å, 90.00 104.22 90.00°
Space group P2_1/m (No. 11)
Unique sites:
La 0.107 0.250 0.215 [2 per cell]
Si 0.250 0.750 0.500 [2 per cell]
Si 0.459 0.250 0.918 [2 per cell]
Ni 0.317 0.250 0.636 [2 per cell]

Output
- Formation energy (no corrections): -3.276 eV/f.u.

***

No. 2
The following is a PBE-GGA calculation of a geometry-optimized La8SiNi2 structure, from the Alexandria database.

Cell: 8.209 13.603 6.512 Å, 90.00 113.15 90.00°
Space group Cm (No. 8)
Unique sites:
La 0.000 0.000 0.000 [2 per cell]
La 0.096 0.365 0.816 [4 per cell]
La 0.123 0.135 0.574 [4 per cell]
La 0.213 0.500 0.379 [2 per cell]
La 0.370 0.199 0.201 [4 per cell]
Si 0.355 0.000 0.965 [2 per cell]
Ni 0.359 0.304 0.689 [4 per cell]

Output
- Formation energy (no corrections): -1.797 eV/f.u.

***

No. 3
The following is a PBE-GGA calculation of a geometry-optimized LaSiNi4 structure, from the Alexandria database.

Cell: 7.031 7.031 7.031 Å, 90.00 90.00 90.00°
Space group F-43m (No. 216)
Unique sites:
La 0.000 0.000 0.000 [4 per cell]
Si 0.250 0.250 0.250 [4 per cell]
Ni 0.123 0.123 0.623 [16 per cell]

Output
- Relative energy among the computed polymorphs: 0.3360 eV per atom
- Formation energy (no corrections): -1.250 eV/f.u.

***

No. 4
The following is a PBE-GGA calculation of a geometry-optimized LaSi2Ni structure, from the Alexandria database.

Cell: 4.065 16.932 4.231 Å, 90.00 90.00 90.00°
Space group Cmmm (No. 65)
Unique sites:
La 0.000 0.145 0.000 [4 per cell]
Si 0.000 0.000 0.500 [2 per cell]
Si 0.000 0.290 0.500 [4 per cell]
Si 0.000 0.500 0.000 [2 per cell]
Ni 0.000 0.427 0.500 [4 per cell]

Output
- Formation energy (no corrections): -2.998 eV/f.u.

***

Number 1: density of states at the Fermi level 0.474 states/eV/atom. Number 2: density of states at the Fermi level 1.214 states/eV/atom. Number 3: density of states at the Fermi level 0.912 states/eV/atom. Number 4: density of states at the Fermi level 0.527 states/eV/atom.